1.
The following is a DFT calculation (PBE) of crystalline PmEr3Hg12 at its relaxed geometry.

Output
Calculated total energy = -1.685 eV/atom
Formation energy = -0.307 eV/atom

a = 4.5185 Å, b = 4.5185 Å, c = 19.2295 Å
α = 90.00°, β = 90.00°, γ = 90.00°
Closest atoms and distances in Å follow each position.
Fractional positions:
Pm (0.0000, 0.0000, 0.0000)  12 Hg 3.20-3.35
Er (0.0000, 0.0000, 0.2526)  12 Hg 3.20-3.29
Er (0.0000, 0.0000, 0.5000)  12 Hg 3.20-3.28
Er (0.0000, 0.0000, 0.7474)  12 Hg 3.20-3.29
Hg (0.0000, 0.5000, 0.1285)  8 Hg 3.20-3.35, 2 Er 3.29, 2 Pm 3.35
Hg (0.0000, 0.5000, 0.3760)  8 Hg 3.20-3.28, 4 Er 3.28
Hg (0.0000, 0.5000, 0.6240)  8 Hg 3.20-3.28, 4 Er 3.28
Hg (0.0000, 0.5000, 0.8715)  8 Hg 3.20-3.35, 2 Er 3.29, 2 Pm 3.35
Hg (0.5000, 0.0000, 0.1285)  8 Hg 3.20-3.35, 2 Er 3.29, 2 Pm 3.35
Hg (0.5000, 0.0000, 0.3760)  8 Hg 3.20-3.28, 4 Er 3.28
Hg (0.5000, 0.0000, 0.6240)  8 Hg 3.20-3.28, 4 Er 3.28
Hg (0.5000, 0.0000, 0.8715)  8 Hg 3.20-3.35, 2 Er 3.29, 2 Pm 3.35
Hg (0.5000, 0.5000, 0.0000)  4 Pm 3.20, 8 Hg 3.35
Hg (0.5000, 0.5000, 0.2522)  4 Er 3.20, 8 Hg 3.28
Hg (0.5000, 0.5000, 0.5000)  4 Er 3.20, 8 Hg 3.28
Hg (0.5000, 0.5000, 0.7478)  4 Er 3.20, 8 Hg 3.28

2.
The following is a DFT calculation (PBE) of crystalline PmEr4Hg2 at its relaxed geometry.

Output
Calculated total energy = -3.346 eV/atom
Formation energy = 0.026 eV/atom

a = 10.6457 Å, b = 10.6457 Å, c = 10.6457 Å
α = 27.20°, β = 27.20°, γ = 27.20°
Closest atoms and distances in Å follow each position.
Fractional positions:
Pm (0.0000, 0.0000, 0.0000)  2 Hg 3.13, 6 Er 3.46
Er (0.2024, 0.2024, 0.2024)  4 Hg 3.03-3.09
Er (0.3951, 0.3951, 0.3951)  3 Hg 3.14, 3 Pm 3.46
Er (0.6049, 0.6049, 0.6049)  3 Hg 3.14, 3 Pm 3.46
Er (0.7976, 0.7976, 0.7976)  4 Hg 3.03-3.09
Hg (0.1019, 0.1019, 0.1019)  7 Er 3.03-3.14, 1 Pm 3.13
Hg (0.8981, 0.8981, 0.8981)  7 Er 3.03-3.14, 1 Pm 3.13

3.
The following is a DFT calculation (PBE) of crystalline Pm2Er6Hg at its relaxed geometry.

Output
Calculated total energy = -4.143 eV/atom
Formation energy = -0.012 eV/atom

a = 9.7083 Å, b = 10.2169 Å, c = 5.4471 Å
α = 90.00°, β = 90.00°, γ = 90.00°
Closest atoms and distances in Å follow each position.
Fractional positions:
Pm (0.1911, 0.2467, 0.0000)  10 Er 3.25-3.62
Pm (0.3089, 0.7467, 0.5000)  10 Er 3.25-3.62
Pm (0.6911, 0.2533, 0.5000)  10 Er 3.25-3.62
Pm (0.8089, 0.7533, 0.0000)  10 Er 3.25-3.62
Er (0.0187, 0.3199, 0.5000)  3 Pm 3.25-3.28, 1 Hg 3.27, 3 Er 3.42-3.52
Er (0.1379, 0.8961, 0.0000)  2 Hg 3.22, 3 Er 3.33-3.42, 3 Pm 3.51-3.54
Er (0.1809, 0.5725, 0.0000)  1 Hg 3.18, 3 Pm 3.33-3.48, 3 Er 3.33-3.52
Er (0.3191, 0.0725, 0.5000)  1 Hg 3.18, 3 Pm 3.33-3.48, 3 Er 3.33-3.52
Er (0.3621, 0.3961, 0.5000)  2 Hg 3.22, 3 Er 3.33-3.42, 3 Pm 3.51-3.54
Er (0.4813, 0.8199, 0.0000)  3 Pm 3.25-3.28, 1 Hg 3.27, 3 Er 3.42-3.52
Er (0.5187, 0.1801, 0.0000)  3 Pm 3.25-3.28, 1 Hg 3.27, 3 Er 3.42-3.52
Er (0.6379, 0.6039, 0.5000)  2 Hg 3.22, 3 Er 3.33-3.42, 3 Pm 3.51-3.54
Er (0.6809, 0.9275, 0.5000)  1 Hg 3.18, 3 Pm 3.33-3.48, 3 Er 3.33-3.52
Er (0.8191, 0.4275, 0.0000)  1 Hg 3.18, 3 Pm 3.33-3.48, 3 Er 3.33-3.52
Er (0.8621, 0.1039, 0.0000)  2 Hg 3.22, 3 Er 3.33-3.42, 3 Pm 3.51-3.54
Er (0.9813, 0.6801, 0.5000)  3 Pm 3.25-3.28, 1 Hg 3.27, 3 Er 3.42-3.52
Hg (0.0000, 0.0000, 0.5000)  8 Er 3.18-3.27
Hg (0.5000, 0.5000, 0.0000)  8 Er 3.18-3.27

4.
The following is a DFT calculation (PBE) of crystalline PmEr3Hg6 at its relaxed geometry.

Output
Calculated total energy = -2.451 eV/atom
Formation energy = -0.426 eV/atom

a = 9.1492 Å, b = 5.1648 Å, c = 11.1383 Å
α = 90.00°, β = 106.93°, γ = 90.00°
Closest atoms and distances in Å follow each position.
Fractional positions:
Pm (0.0658, 0.2500, 0.3857)  10 Hg 3.14-3.45
Pm (0.9342, 0.7500, 0.6143)  10 Hg 3.14-3.45
Er (0.2312, 0.2500, 0.0043)  8 Hg 3.04-3.36
Er (0.3527, 0.7500, 0.8050)  8 Hg 3.04-3.17
Er (0.4857, 0.2500, 0.6122)  7 Hg 2.99-3.31
Er (0.5143, 0.7500, 0.3878)  7 Hg 2.99-3.31
Er (0.6473, 0.2500, 0.1950)  8 Hg 3.04-3.17
Er (0.7688, 0.7500, 0.9957)  8 Hg 3.04-3.36
Hg (0.0636, 0.7500, 0.9078)  4 Er 3.04-3.17, 1 Pm 3.14, 3 Hg 3.20-3.23
Hg (0.1407, 0.7500, 0.2068)  8 Hg 3.20-3.53, 2 Er 3.43-3.53, 2 Pm 3.45
Hg (0.1731, 0.2500, 0.6918)  4 Er 3.12-3.36, 3 Pm 3.26-3.33, 4 Hg 3.38-3.48
Hg (0.2540, 0.7500, 0.5201)  4 Er 3.04-3.31, 3 Pm 3.22-3.38, 1 Hg 3.34
Hg (0.3586, 0.2500, 0.2923)  4 Er 2.99-3.13, 1 Pm 3.14, 2 Hg 3.23
Hg (0.4637, 0.7500, 0.0936)  7 Er 3.08-3.31
Hg (0.5363, 0.2500, 0.9064)  7 Er 3.08-3.31
Hg (0.6414, 0.7500, 0.7077)  4 Er 2.99-3.13, 1 Pm 3.14, 2 Hg 3.23
Hg (0.7460, 0.2500, 0.4799)  4 Er 3.04-3.31, 3 Pm 3.22-3.38, 1 Hg 3.34
Hg (0.8269, 0.7500, 0.3082)  4 Er 3.12-3.36, 3 Pm 3.26-3.33, 4 Hg 3.38-3.48
Hg (0.8593, 0.2500, 0.7932)  8 Hg 3.20-3.53, 2 Er 3.43-3.53, 2 Pm 3.45
Hg (0.9364, 0.2500, 0.0922)  4 Er 3.04-3.17, 1 Pm 3.14, 3 Hg 3.20-3.23

5.
The following is a DFT calculation (PBE) of crystalline Pm2ErHg at its relaxed geometry.

Output
Calculated total energy = -3.803 eV/atom
Formation energy = -0.211 eV/atom
Excess energy over the best structure of this formula in the dataset = 0.017 eV/atom

a = 3.6876 Å, b = 3.6876 Å, c = 8.9090 Å
α = 90.00°, β = 90.00°, γ = 90.00°
Closest atoms and distances in Å follow each position.
Fractional positions:
Pm (0.0000, 0.0000, 0.2255)  4 Hg 3.29, 4 Er 3.57
Pm (0.0000, 0.0000, 0.7745)  4 Hg 3.29, 4 Er 3.57
Er (0.5000, 0.5000, 0.5000)  8 Pm 3.57, 4 Er 3.69
Hg (0.5000, 0.5000, 0.0000)  8 Pm 3.29

6.
The following is a DFT calculation (PBE) of crystalline Pm2ErHg at its relaxed geometry.

Output
Calculated total energy = -3.728 eV/atom
Formation energy = -0.137 eV/atom
Excess energy over the best structure of this formula in the dataset = 0.091 eV/atom

a = 10.8871 Å, b = 10.8871 Å, c = 10.8871 Å
α = 19.48°, β = 19.48°, γ = 19.48°
Closest atoms and distances in Å follow each position.
Fractional positions:
Pm (0.0000, 0.0000, 0.0000)  3 Hg 3.27, 3 Er 3.55
Pm (0.1779, 0.1779, 0.1779)  3 Hg 3.27, 3 Er 3.56
Er (0.4221, 0.4221, 0.4221)  6 Pm 3.55-3.56, 6 Er 3.68
Hg (0.5890, 0.5890, 0.5890)  6 Pm 3.27

7.
The following is a DFT calculation (PBE) of crystalline Pm3ErHg3 at its relaxed geometry.

Output
Calculated total energy = -3.128 eV/atom
Formation energy = -0.311 eV/atom

a = 7.4551 Å, b = 7.4551 Å, c = 7.3576 Å
α = 90.00°, β = 90.00°, γ = 92.78°
Closest atoms and distances in Å follow each position.
Fractional positions:
Pm (0.1886, 0.1886, 0.5000)  4 Hg 3.28
Pm (0.2219, 0.7781, 0.0000)  6 Hg 3.22-3.44, 2 Pm 3.49
Pm (0.2466, 0.2466, 0.0000)  6 Hg 3.10-3.31
Pm (0.7534, 0.7534, 0.0000)  6 Hg 3.10-3.31
Pm (0.7781, 0.2219, 0.0000)  6 Hg 3.22-3.44, 2 Pm 3.49
Pm (0.8114, 0.8114, 0.5000)  4 Hg 3.28
Er (0.2899, 0.7101, 0.5000)  6 Hg 3.03-3.14
Er (0.7101, 0.2899, 0.5000)  6 Hg 3.03-3.14
Hg (0.0000, 0.5000, 0.2614)  2 Er 3.14, 6 Pm 3.22-3.31, 1 Hg 3.51
Hg (0.0000, 0.5000, 0.7386)  2 Er 3.14, 6 Pm 3.22-3.31, 1 Hg 3.51
Hg (0.5000, 0.0000, 0.2614)  2 Er 3.14, 6 Pm 3.22-3.31, 1 Hg 3.51
Hg (0.5000, 0.0000, 0.7386)  2 Er 3.14, 6 Pm 3.22-3.31, 1 Hg 3.51
Hg (0.5000, 0.5000, 0.2278)  2 Er 3.03, 2 Pm 3.10, 1 Hg 3.35
Hg (0.5000, 0.5000, 0.7722)  2 Er 3.03, 2 Pm 3.10, 1 Hg 3.35

8.
The following is a DFT calculation (PBE) of crystalline Pm3Er2Hg6 at its relaxed geometry.

Output
Calculated total energy = -2.402 eV/atom
Formation energy = -0.113 eV/atom

a = 13.7913 Å, b = 13.7913 Å, c = 13.7913 Å
α = 158.49°, β = 158.49°, γ = 30.60°
Closest atoms and distances in Å follow each position.
Fractional positions:
Pm (0.0000, 0.0000, 0.0000)  8 Hg 3.12
Pm (0.1476, 0.1476, 0.0000)  5 Hg 3.15-3.36
Pm (0.8524, 0.8524, 0.0000)  5 Hg 3.15-3.36
Er (0.3790, 0.3790, 0.0000)  5 Hg 2.95-3.01
Er (0.6210, 0.6210, 0.0000)  5 Hg 2.95-3.01
Hg (0.0664, 0.5664, 0.5000)  2 Er 2.95, 2 Pm 3.12
Hg (0.2661, 0.2661, 0.0000)  1 Er 3.01, 1 Pm 3.15
Hg (0.4336, 0.9336, 0.5000)  2 Er 2.95, 2 Pm 3.12
Hg (0.5664, 0.0664, 0.5000)  2 Er 2.95, 2 Pm 3.12
Hg (0.7339, 0.7339, 0.0000)  1 Er 3.01, 1 Pm 3.15
Hg (0.9336, 0.4336, 0.5000)  2 Er 2.95, 2 Pm 3.12

9.
The following is a DFT calculation (PBE) of crystalline Pm2ErHg2 at its relaxed geometry.

Output
Calculated total energy = -3.264 eV/atom
Formation energy = -0.331 eV/atom
Excess energy over the best structure of this formula in the dataset = 0.038 eV/atom

a = 6.0136 Å, b = 6.0136 Å, c = 6.0136 Å
α = 132.72°, β = 108.68°, γ = 90.07°
Closest atoms and distances in Å follow each position.
Fractional positions:
Pm (0.1944, 0.1944, 0.0000)  6 Hg 3.26-3.30, 1 Pm 3.31, 2 Er 3.54
Pm (0.8056, 0.8056, 0.0000)  6 Hg 3.26-3.30, 1 Pm 3.31, 2 Er 3.54
Er (0.5000, 0.0000, 0.5000)  4 Hg 3.11
Hg (0.2196, 0.5000, 0.7196)  1 Hg 3.08, 2 Er 3.11, 6 Pm 3.26-3.30
Hg (0.7804, 0.5000, 0.2804)  1 Hg 3.08, 2 Er 3.11, 6 Pm 3.26-3.30

10.
The following is a DFT calculation (PBE) of crystalline Pm2Er2Hg7 at its relaxed geometry.

Output
Calculated total energy = -1.967 eV/atom
Formation energy = -0.082 eV/atom

a = 6.7738 Å, b = 6.7738 Å, c = 7.5184 Å
α = 90.00°, β = 90.00°, γ = 103.28°
Closest atoms and distances in Å follow each position.
Fractional positions:
Pm (0.2015, 0.7985, 0.0000)  7 Hg 3.07-3.17
Pm (0.7985, 0.2015, 0.0000)  7 Hg 3.07-3.17
Er (0.3013, 0.3013, 0.5000)  6 Hg 2.97-3.09
Er (0.6987, 0.6987, 0.5000)  6 Hg 2.97-3.09
Hg (0.0000, 0.0000, 0.2927)  2 Er 2.97, 2 Pm 3.07, 1 Hg 3.12
Hg (0.0000, 0.0000, 0.7073)  2 Er 2.97, 2 Pm 3.07, 1 Hg 3.12
Hg (0.0000, 0.5000, 0.2986)  3 Hg 3.03-3.39, 2 Er 3.09, 2 Pm 3.12
Hg (0.0000, 0.5000, 0.7014)  3 Hg 3.03-3.39, 2 Er 3.09, 2 Pm 3.12
Hg (0.5000, 0.0000, 0.2986)  3 Hg 3.03-3.39, 2 Er 3.09, 2 Pm 3.12
Hg (0.5000, 0.0000, 0.7014)  3 Hg 3.03-3.39, 2 Er 3.09, 2 Pm 3.12
Hg (0.5000, 0.5000, 0.0000)  2 Pm 3.17

11.
The following is a DFT calculation (PBE) of crystalline PmEr4Hg at its relaxed geometry.

Output
Calculated total energy = -4.025 eV/atom
Formation energy = -0.141 eV/atom
Excess energy over the best structure of this formula in the dataset = 0.000 eV/atom

a = 3.5629 Å, b = 3.5629 Å, c = 13.9621 Å
α = 90.00°, β = 90.00°, γ = 90.00°
Closest atoms and distances in Å follow each position.
Fractional positions:
Pm (0.0000, 0.0000, 0.0000)  8 Er 3.56, 4 Pm 3.56
Er (0.0000, 0.0000, 0.3576)  4 Hg 3.21, 8 Er 3.53-3.56
Er (0.0000, 0.0000, 0.6424)  4 Hg 3.21, 8 Er 3.53-3.56
Er (0.5000, 0.5000, 0.1801)  8 Er 3.53-3.56, 4 Pm 3.56
Er (0.5000, 0.5000, 0.8199)  8 Er 3.53-3.56, 4 Pm 3.56
Hg (0.5000, 0.5000, 0.5000)  8 Er 3.21, 4 Hg 3.56

- Look up the calculated total energy of the tenth one.
  -1.967 eV/atom

What did the first record say?
The following is a DFT calculation (PBE) of crystalline PmEr3Hg12 at its relaxed geometry.

Output
Calculated total energy = -1.685 eV/atom
Formation energy = -0.307 eV/atom

a = 4.5185 Å, b = 4.5185 Å, c = 19.2295 Å
α = 90.00°, β = 90.00°, γ = 90.00°
Closest atoms and distances in Å follow each position.
Fractional positions:
Pm (0.0000, 0.0000, 0.0000)  12 Hg 3.20-3.35
Er (0.0000, 0.0000, 0.2526)  12 Hg 3.20-3.29
Er (0.0000, 0.0000, 0.5000)  12 Hg 3.20-3.28
Er (0.0000, 0.0000, 0.7474)  12 Hg 3.20-3.29
Hg (0.0000, 0.5000, 0.1285)  8 Hg 3.20-3.35, 2 Er 3.29, 2 Pm 3.35
Hg (0.0000, 0.5000, 0.3760)  8 Hg 3.20-3.28, 4 Er 3.28
Hg (0.0000, 0.5000, 0.6240)  8 Hg 3.20-3.28, 4 Er 3.28
Hg (0.0000, 0.5000, 0.8715)  8 Hg 3.20-3.35, 2 Er 3.29, 2 Pm 3.35
Hg (0.5000, 0.0000, 0.1285)  8 Hg 3.20-3.35, 2 Er 3.29, 2 Pm 3.35
Hg (0.5000, 0.0000, 0.3760)  8 Hg 3.20-3.28, 4 Er 3.28
Hg (0.5000, 0.0000, 0.6240)  8 Hg 3.20-3.28, 4 Er 3.28
Hg (0.5000, 0.0000, 0.8715)  8 Hg 3.20-3.35, 2 Er 3.29, 2 Pm 3.35
Hg (0.5000, 0.5000, 0.0000)  4 Pm 3.20, 8 Hg 3.35
Hg (0.5000, 0.5000, 0.2522)  4 Er 3.20, 8 Hg 3.28
Hg (0.5000, 0.5000, 0.5000)  4 Er 3.20, 8 Hg 3.28
Hg (0.5000, 0.5000, 0.7478)  4 Er 3.20, 8 Hg 3.28